Cr2NF | PBE with a Hubbard U | relaxed

Results
The value obtained for the final energy is -7.0384 eV per atom. Its space-group type is No. 122. Its total magnetization is 8.0 μB per formula unit. As for the density: 4.104 g cm⁻³.

Unit cell a=5.5346 b=5.5346 c=5.3304 alpha=58.72 beta=58.72 gamma=90.00
Last column: nearest neighbours and their distance in Å.
Fractional positions:
1 Cr 0.5776 0.1250 0.2500  2 N 2.00
2 Cr 0.1724 0.6250 0.2500  2 N 2.00
3 Cr 0.3750 0.4224 0.7500  2 N 2.00
4 Cr 0.8750 0.8276 0.7500  2 N 2.00
5 N 0.5000 0.5000 0.0000  4 Cr 2.00
6 N 0.2500 0.7500 0.5000  4 Cr 2.00
7 F 0.0000 0.0000 0.0000  4 Cr 2.33
8 F 0.7500 0.2500 0.5000  4 Cr 2.33